## i
{
  "formula": "Rb2Hg2H",
  "functional": "PBE",
  "state": "optimized geometry",
  "space_group": "P4/mbm",
  "magmom_total_mub_per_fu": 0.0,
  "dos_ef_per_ev_atom": 0.654,
  "cell": [[8.0323, 0.0000, 0.0000], [0.0000, 8.0323, 0.0000], [0.0000, 0.0000, 6.2270]],
  "species": ["Hg", "Rb", "H", "H", "Rb", "Rb", "Hg", "Hg", "Rb", "Hg"],
  "frac_coords": [[0.8642, 0.3642, 0.5000], [0.1937, 0.3063, 0.0000], [0.0000, 0.0000, 0.0000], [0.5000, 0.5000, 0.0000], [0.8063, 0.6937, 0.0000], [0.6937, 0.1937, 0.0000], [0.6358, 0.8642, 0.5000], [0.3642, 0.1358, 0.5000], [0.3063, 0.8063, 0.0000], [0.1358, 0.6358, 0.5000]]
}

=====

## ii
{
  "formula": "Rb2Hg2H",
  "functional": "PBE",
  "state": "optimized geometry",
  "space_group": "I4/mmm",
  "magmom_total_mub_per_fu": 0.0,
  "dos_ef_per_ev_atom": 0.498,
  "cell": [[-2.3499, -5.4837, -3.8074], [5.9743, 0.0738, -3.7936], [3.7151, -5.5625, -0.8594]],
  "species": ["Rb", "Hg", "H", "Hg", "Rb"],
  "frac_coords": [[0.2500, 0.7500, 0.5000], [0.2336, 0.2336, 0.5329], [0.0000, 0.0000, 0.0000], [0.7664, 0.7664, 0.4671], [0.7500, 0.2500, 0.5000]]
}

=====

Tell me which of them is the most stable. Sure, it is i.

=====

## i
{
  "formula": "RbHgH2",
  "functional": "PBE",
  "state": "optimized geometry",
  "space_group": "Fm-3m",
  "magmom_total_mub_per_fu": 0.0,
  "dos_ef_per_ev_atom": 0.349,
  "cell": [[0.0000, 3.3941, 3.3941], [3.3941, 0.0000, 3.3941], [3.3941, 3.3941, 0.0000]],
  "species": ["H", "Rb", "Hg", "H"],
  "frac_coords": [[0.2500, 0.2500, 0.2500], [0.0000, 0.0000, 0.0000], [0.5000, 0.5000, 0.5000], [0.7500, 0.7500, 0.7500]]
}

=====

## ii
{
  "formula": "RbHgH2",
  "functional": "PBE",
  "state": "optimized geometry",
  "space_group": "I-42d",
  "magmom_total_mub_per_fu": 0.0,
  "dos_ef_per_ev_atom": 0.085,
  "cell": [[5.3638, 0.0000, 0.0000], [0.0000, 5.3638, 0.0000], [2.6819, 2.6819, 5.8031]],
  "species": ["Hg", "Hg", "Rb", "H", "Rb", "H", "H", "H"],
  "frac_coords": [[0.7500, 0.2500, 0.5000], [0.0000, 0.0000, 0.0000], [0.2500, 0.7500, 0.5000], [0.9393, 0.6250, 0.2500], [0.5000, 0.5000, 0.0000], [0.3750, 0.1893, 0.7500], [0.8750, 0.0607, 0.7500], [0.8107, 0.1250, 0.2500]]
}

=====

## iii
{
  "formula": "RbHgH2",
  "functional": "PBE",
  "state": "optimized geometry",
  "space_group": "R-3m",
  "magmom_total_mub_per_fu": 0.0,
  "dos_ef_per_ev_atom": 0.496,
  "cell": [[-3.8960, 0.3386, 2.5226], [-2.3582, -3.8389, 1.1657], [0.8232, -1.5728, 5.7751]],
  "species": ["H", "Rb", "H", "Hg"],
  "frac_coords": [[0.1029, 0.1029, 0.6914], [0.5000, 0.5000, 0.5000], [0.8971, 0.8971, 0.3086], [0.0000, 0.0000, 0.0000]]
}

=====

## iv
{
  "formula": "RbHgH2",
  "functional": "PBE",
  "state": "optimized geometry",
  "space_group": "P2_1/m",
  "magmom_total_mub_per_fu": 0.0,
  "dos_ef_per_ev_atom": 0.376,
  "cell": [[-5.9962, -1.1846, -3.5932], [2.9060, -0.4405, -4.7041], [4.4785, -4.5330, 3.1910]],
  "species": ["Rb", "Rb", "Hg", "H", "H", "H", "Hg", "H"],
  "frac_coords": [[0.6388, 0.7500, 0.8684], [0.3612, 0.2500, 0.1316], [0.9338, 0.7500, 0.5647], [0.8141, 0.1797, 0.6747], [0.1859, 0.8203, 0.3253], [0.1859, 0.6797, 0.3253], [0.0662, 0.2500, 0.4353], [0.8141, 0.3203, 0.6747]]
}

=====

Tell me which of them is the most stable. Sure, it is iv.

=====

## i
{
  "formula": "RbHg2H2",
  "functional": "PBE",
  "state": "optimized geometry",
  "space_group": "P4/mbm",
  "magmom_total_mub_per_fu": 0.0,
  "dos_ef_per_ev_atom": 0.230,
  "cell": [[7.8610, 0.0000, 0.0000], [0.0000, 7.8610, 0.0000], [0.0000, 0.0000, 3.5846]],
  "species": ["Hg", "Hg", "Hg", "H", "Rb", "H", "Rb", "H", "Hg", "H"],
  "frac_coords": [[0.1299, 0.6299, 0.5000], [0.8701, 0.3701, 0.5000], [0.3701, 0.1299, 0.5000], [0.3707, 0.8707, 0.0000], [0.5000, 0.5000, 0.0000], [0.1293, 0.3707, 0.0000], [0.0000, 0.0000, 0.0000], [0.8707, 0.6293, 0.0000], [0.6299, 0.8701, 0.5000], [0.6293, 0.1293, 0.0000]]
}

=====

## ii
{
  "formula": "RbHg2H2",
  "functional": "PBE",
  "state": "optimized geometry",
  "space_group": "I4/mmm",
  "magmom_total_mub_per_fu": 0.0,
  "dos_ef_per_ev_atom": 0.218,
  "cell": [[4.5106, 0.0000, 0.0000], [0.0000, 4.5106, 0.0000], [2.2553, 2.2553, 5.0452]],
  "species": ["Hg", "H", "H", "Hg", "Rb"],
  "frac_coords": [[0.3442, 0.3442, 0.3116], [0.7500, 0.2500, 0.5000], [0.2500, 0.7500, 0.5000], [0.6558, 0.6558, 0.6884], [0.0000, 0.0000, 0.0000]]
}

=====

## iii
{
  "formula": "RbHg2H2",
  "functional": "PBE",
  "state": "optimized geometry",
  "space_group": "C2/m",
  "magmom_total_mub_per_fu": 0.0,
  "dos_ef_per_ev_atom": 0.204,
  "cell": [[-4.8354, -0.3154, 1.7683], [-2.5339, -2.0854, -7.3010], [3.0548, -2.0139, 0.4707]],
  "species": ["Hg", "H", "Hg", "H", "Rb"],
  "frac_coords": [[0.3008, 0.5990, 0.6016], [0.4192, 0.8394, 0.8384], [0.6992, 0.4010, 0.3984], [0.5808, 0.1606, 0.1616], [0.0000, 0.0000, 0.0000]]
}

=====

Tell me which of them is the most stable. Sure, it is iii.

=====

## i
{
  "formula": "ReHg2H",
  "functional": "PBE",
  "state": "optimized geometry",
  "space_group": "I-42d",
  "magmom_total_mub_per_fu": 0.0,
  "dos_ef_per_ev_atom": 0.198,
  "cell": [[6.6202, 0.0000, 0.0000], [0.0000, 6.6202, 0.0000], [3.3101, 3.3101, 2.8341]],
  "species": ["H", "Hg", "Hg", "Hg", "Re", "H", "Hg", "Re"],
  "frac_coords": [[0.2500, 0.7500, 0.5000], [0.3750, 0.4503, 0.7500], [0.2003, 0.6250, 0.2500], [0.5497, 0.1250, 0.2500], [0.0000, 0.0000, 0.0000], [0.5000, 0.5000, 0.0000], [0.8750, 0.7997, 0.7500], [0.7500, 0.2500, 0.5000]]
}

=====

## ii
{
  "formula": "ReHg2H",
  "functional": "PBE",
  "state": "optimized geometry",
  "space_group": "Fm-3m",
  "magmom_total_mub_per_fu": 3.0,
  "dos_ef_per_ev_atom": 0.732,
  "cell": [[0.0000, 3.2830, 3.2830], [3.2830, 0.0000, 3.2830], [3.2830, 3.2830, 0.0000]],
  "species": ["Re", "Hg", "H", "Hg"],
  "frac_coords": [[0.5000, 0.5000, 0.5000], [0.7500, 0.7500, 0.7500], [0.0000, 0.0000, 0.0000], [0.2500, 0.2500, 0.2500]]
}

=====

Tell me which of them is the most stable. Sure, it is i.

=====

## i
{
  "formula": "ReHgH3",
  "functional": "PBE",
  "state": "optimized geometry",
  "space_group": "Pm-3m",
  "magmom_total_mub_per_fu": 0.0,
  "dos_ef_per_ev_atom": 0.154,
  "cell": [[-2.1700, -2.8364, -0.8034], [1.0558, -1.6792, 3.0765], [-2.7524, 1.5921, 1.8135]],
  "species": ["H", "Hg", "H", "Re", "H"],
  "frac_coords": [[0.0000, 0.0000, 0.5000], [0.0000, 0.0000, 0.0000], [0.5000, 0.0000, 0.0000], [0.5000, 0.5000, 0.5000], [0.0000, 0.5000, 0.0000]]
}

=====

## ii
{
  "formula": "ReHgH3",
  "functional": "PBE",
  "state": "optimized geometry",
  "space_group": "Pm-3m",
  "magmom_total_mub_per_fu": 0.0,
  "dos_ef_per_ev_atom": 0.280,
  "cell": [[-2.4643, 2.1623, -1.5223], [1.1692, -0.9755, -3.2783], [-2.3719, -2.7274, -0.0344]],
  "species": ["H", "H", "Re", "H", "Hg"],
  "frac_coords": [[0.0000, 0.0000, 0.5000], [0.0000, 0.5000, 0.0000], [0.0000, 0.0000, 0.0000], [0.5000, 0.0000, 0.0000], [0.5000, 0.5000, 0.5000]]
}

=====

Tell me which of them is the most stable. Sure, it is ii.

=====

## i
{
  "formula": "ReHgH2",
  "functional": "PBE",
  "state": "optimized geometry",
  "space_group": "I-42d",
  "magmom_total_mub_per_fu": 0.0,
  "dos_ef_per_ev_atom": 0.791,
  "cell": [[5.5708, 0.0000, 0.0000], [0.0000, 5.5708, 0.0000], [2.7854, 2.7854, 2.8304]],
  "species": ["Re", "H", "H", "Hg", "H", "H", "Re", "Hg"],
  "frac_coords": [[0.2500, 0.7500, 0.5000], [0.3750, 0.4726, 0.7500], [0.8750, 0.7774, 0.7500], [0.0000, 0.0000, 0.0000], [0.2226, 0.6250, 0.2500], [0.5274, 0.1250, 0.2500], [0.5000, 0.5000, 0.0000], [0.7500, 0.2500, 0.5000]]
}

=====

## ii
{
  "formula": "ReHgH2",
  "functional": "PBE",
  "state": "optimized geometry",
  "space_group": "Fm-3m",
  "magmom_total_mub_per_fu": 0.0,
  "dos_ef_per_ev_atom": 0.711,
  "cell": [[0.1127, -2.8578, -2.6881], [0.1040, -3.7566, 1.1326], [-3.1309, -2.3026, -0.5488]],
  "species": ["Re", "H", "Hg", "H"],
  "frac_coords": [[0.0000, 0.0000, 0.0000], [0.7500, 0.7500, 0.7500], [0.5000, 0.5000, 0.5000], [0.2500, 0.2500, 0.2500]]
}

=====

Tell me which of them is the most stable. Sure, it is i.

=====

## i
{
  "formula": "HgHRh3",
  "functional": "PBE",
  "state": "optimized geometry",
  "space_group": "Pm-3m",
  "magmom_total_mub_per_fu": 0.0,
  "dos_ef_per_ev_atom": 0.518,
  "cell": [[-2.9473, -1.2174, -2.4499], [1.7988, -3.5756, -0.3871], [-2.0612, -1.3796, 3.1653]],
  "species": ["Rh", "H", "Rh", "Hg", "Rh"],
  "frac_coords": [[0.0000, 0.0000, 0.5000], [0.0000, 0.0000, 0.0000], [0.5000, 0.0000, 0.0000], [0.5000, 0.5000, 0.5000], [0.0000, 0.5000, 0.0000]]
}

=====

## ii
{
  "formula": "HgHRh3",
  "functional": "PBE",
  "state": "optimized geometry",
  "space_group": "Pm-3m",
  "magmom_total_mub_per_fu": 4.0,
  "dos_ef_per_ev_atom": 0.858,
  "cell": [[-4.3822, 0.7536, 2.3920], [1.2441, -3.5282, 3.3908], [2.1775, 3.5323, 2.8765]],
  "species": ["H", "Rh", "Rh", "Hg", "Rh"],
  "frac_coords": [[0.5000, 0.5000, 0.5000], [0.0000, 0.5000, 0.0000], [0.5000, 0.0000, 0.0000], [0.0000, 0.0000, 0.0000], [0.0000, 0.0000, 0.5000]]
}

=====

Tell me which of them is the most stable. Sure, it is i.

=====

## i
{
  "formula": "HgHRh",
  "functional": "PBE",
  "state": "optimized geometry",
  "space_group": "P-6m2",
  "magmom_total_mub_per_fu": 0.0,
  "dos_ef_per_ev_atom": 0.832,
  "cell": [[3.1355, 0.0000, 0.0000], [-1.5677, 2.7154, 0.0000], [0.0000, 0.0000, 4.5330]],
  "species": ["Rh", "Hg", "H"],
  "frac_coords": [[0.6667, 0.3333, 0.5004], [0.0000, 0.0000, 0.0003], [0.3333, 0.6667, 0.4993]]
}

=====

## ii
{
  "formula": "HgHRh",
  "functional": "PBE",
  "state": "optimized geometry",
  "space_group": "P2_1/m",
  "magmom_total_mub_per_fu": 0.0,
  "dos_ef_per_ev_atom": 0.376,
  "cell": [[-1.9802, 3.0634, 4.1049], [2.4473, -0.0459, 6.1233], [3.1187, 5.2460, 2.4982]],
  "species": ["Hg", "Hg", "H", "Rh", "Rh", "H", "H", "Hg", "Rh", "H", "Hg", "Rh"],
  "frac_coords": [[0.2399, 0.1385, 0.3885], [0.7601, 0.8615, 0.6115], [0.6329, 0.3491, 0.5991], [0.7339, 0.1262, 0.8762], [0.7339, 0.6262, 0.3762], [0.3671, 0.1509, 0.9009], [0.3671, 0.6509, 0.4009], [0.7601, 0.3615, 0.1115], [0.2661, 0.3738, 0.6238], [0.6329, 0.8491, 0.0991], [0.2399, 0.6385, 0.8885], [0.2661, 0.8738, 0.1238]]
}

=====

Tell me which of them is the most stable. Sure, it is i.